1.
{"formula": "La2DyHf", "functional": "GGA-PBE", "state": "relaxed", "lattice": [[4.833, 0.000, 0.000], [0.000, 5.038, 0.000], [0.000, 0.000, 5.038]], "species": ["La", "La", "Hf", "Dy"], "fractional_positions": [[0.000, 0.000, 0.500], [0.000, 0.500, 0.000], [0.500, 0.000, 0.000], [0.500, 0.500, 0.500]], "formation_enthalpy_0k_ev_per_atom": 0.177, "space_group": "P4/mmm", "polymorph_energy_mev_per_atom": 0}

---

2.
{"formula": "TaBeTe2", "functional": "GGA-PBE", "state": "relaxed", "lattice": [[-6.180, -0.562, -0.204], [0.597, -5.918, -1.783], [-2.821, -4.852, 4.348]], "species": ["Be", "Be", "Te", "Te", "Te", "Te", "Ta", "Ta"], "fractional_positions": [[0.500, 0.500, 0.000], [0.250, 0.750, 0.500], [0.580, 0.125, 0.250], [0.170, 0.625, 0.250], [0.375, 0.420, 0.750], [0.875, 0.830, 0.750], [0.000, 0.000, 0.000], [0.750, 0.250, 0.500]], "space_group": "I-42d", "formation_energy_uncorrected_mev_per_atom": 374.4}

---

3.
{"formula": "Ba2SrSi", "functional": "GGA-PBE", "state": "relaxed", "lattice": [[-5.090, 0.658, -1.547], [-1.448, -4.224, 2.966], [-0.852, 3.223, 4.173]], "species": ["Ba", "Ba", "Si", "Sr"], "fractional_positions": [[0.000, 0.000, 0.000], [0.500, 0.500, 0.000], [0.500, 0.000, 0.500], [0.000, 0.500, 0.500]], "space_group": "P4/mmm", "formation_energy_uncorrected_mev_per_atom": -8.6}

---

4.
{"formula": "Pm2SmCu2Ge2", "functional": "GGA-PBE", "state": "relaxed", "lattice": [[4.300, 0.000, 0.000], [2.150, 3.724, 0.000], [2.150, 1.241, 9.969]], "species": ["Pm", "Pm", "Sm", "Cu", "Cu", "Ge", "Ge"], "fractional_positions": [[0.124, 0.124, 0.628], [0.876, 0.876, 0.372], [0.000, 0.000, 0.000], [0.604, 0.604, 0.189], [0.396, 0.396, 0.811], [0.732, 0.732, 0.805], [0.268, 0.268, 0.195]], "formation_enthalpy_0k_ev_per_atom": -0.496, "space_group": "R-3m"}

---

no.,V (Å³ per cell),D(E_F) (states/eV per cell)
1,122.68,3.8
2,215.11,3.7
3,153.49,1.8
4,159.66,4.2